Record 1
A plane-wave DFT calculation with PBE was carried out for a relaxed Nb2BiPd crystal.

Summary:
* distance to the lowest polymorph of the same formula: 204 meV/atom
* crystal system: tetragonal

abc: 7.5890 7.5890 5.7413
angles: 90.00 90.00 90.00
Closest atoms and distances in Å follow each position.
Element x y z (fractional)
1 Nb 0.2291 0.2500 0.1250  2 Pd 2.67, 2 Nb 2.89, 2 Bi 2.89
2 Nb 0.2500 0.7291 0.3750  2 Pd 2.67, 2 Nb 2.89, 2 Bi 2.89
3 Nb 0.2500 0.7709 0.8750  2 Pd 2.67, 2 Nb 2.89, 2 Bi 2.89
4 Nb 0.2709 0.2500 0.6250  2 Pd 2.67, 2 Nb 2.89, 2 Bi 2.89
5 Nb 0.7291 0.7500 0.6250  2 Pd 2.67, 2 Nb 2.89, 2 Bi 2.89
6 Nb 0.7500 0.2291 0.8750  2 Pd 2.67, 2 Nb 2.89, 2 Bi 2.89
7 Nb 0.7500 0.2709 0.3750  2 Pd 2.67, 2 Nb 2.89, 2 Bi 2.89
8 Nb 0.7709 0.7500 0.1250  2 Pd 2.67, 2 Nb 2.89, 2 Bi 2.89
9 Bi 0.0000 0.0000 0.5000  2 Pd 2.87, 4 Nb 2.89
10 Bi 0.0000 0.5000 0.7500  2 Pd 2.87, 4 Nb 2.89
11 Bi 0.5000 0.0000 0.2500  2 Pd 2.87, 4 Nb 2.89
12 Bi 0.5000 0.5000 0.0000  2 Pd 2.87, 4 Nb 2.89
13 Pd 0.0000 0.0000 0.0000  4 Nb 2.67, 2 Bi 2.87
14 Pd 0.0000 0.5000 0.2500  4 Nb 2.67, 2 Bi 2.87
15 Pd 0.5000 0.0000 0.7500  4 Nb 2.67, 2 Bi 2.87
16 Pd 0.5000 0.5000 0.5000  4 Nb 2.67, 2 Bi 2.87

Record 2
A plane-wave DFT calculation with PBE was carried out for a relaxed NbBiPd6 crystal.

Summary:
* crystal system: tetragonal

abc: 4.0396 4.0396 8.2376
angles: 90.00 90.00 90.00
Closest atoms and distances in Å follow each position.
Element x y z (fractional)
1 Nb 0.0000 0.0000 0.0000  12 Pd 2.77-2.86
2 Bi 0.0000 0.0000 0.5000  12 Pd 2.86-3.01
3 Pd 0.0000 0.5000 0.2297  8 Pd 2.77-3.01, 2 Nb 2.77, 2 Bi 3.01
4 Pd 0.0000 0.5000 0.7703  8 Pd 2.77-3.01, 2 Nb 2.77, 2 Bi 3.01
5 Pd 0.5000 0.0000 0.2297  8 Pd 2.77-3.01, 2 Nb 2.77, 2 Bi 3.01
6 Pd 0.5000 0.0000 0.7703  8 Pd 2.77-3.01, 2 Nb 2.77, 2 Bi 3.01
7 Pd 0.5000 0.5000 0.0000  8 Pd 2.77, 4 Nb 2.86
8 Pd 0.5000 0.5000 0.5000  4 Bi 2.86, 8 Pd 3.01

Record 3
A plane-wave DFT calculation with PBE was carried out for a relaxed Nb2BiPd crystal.

Summary:
* distance to the lowest polymorph of the same formula: 0 meV/atom
* crystal system: cubic

abc: 6.7318 6.7318 6.7318
angles: 90.00 90.00 90.00
Closest atoms and distances in Å follow each position.
Element x y z (fractional)
1 Nb 0.2500 0.2500 0.2500  4 Pd 2.91, 4 Bi 2.91
2 Nb 0.2500 0.2500 0.7500  4 Bi 2.91, 4 Pd 2.91
3 Nb 0.2500 0.7500 0.2500  4 Bi 2.91, 4 Pd 2.91
4 Nb 0.2500 0.7500 0.7500  4 Bi 2.91, 4 Pd 2.91
5 Nb 0.7500 0.2500 0.2500  4 Bi 2.91, 4 Pd 2.91
6 Nb 0.7500 0.2500 0.7500  4 Bi 2.91, 4 Pd 2.91
7 Nb 0.7500 0.7500 0.2500  4 Bi 2.91, 4 Pd 2.91
8 Nb 0.7500 0.7500 0.7500  4 Bi 2.91, 4 Pd 2.91
9 Bi 0.0000 0.0000 0.0000  8 Nb 2.91
10 Bi 0.0000 0.5000 0.5000  8 Nb 2.91
11 Bi 0.5000 0.0000 0.5000  8 Nb 2.91
12 Bi 0.5000 0.5000 0.0000  8 Nb 2.91
13 Pd 0.0000 0.0000 0.5000  8 Nb 2.91
14 Pd 0.0000 0.5000 0.0000  8 Nb 2.91
15 Pd 0.5000 0.0000 0.0000  8 Nb 2.91
16 Pd 0.5000 0.5000 0.5000  8 Nb 2.91

Record 4
A plane-wave DFT calculation with PBE was carried out for a relaxed NbBi3Pd12 crystal.

Summary:
* crystal system: tetragonal

abc: 4.0792 4.0792 16.6222
angles: 90.00 90.00 90.00
Closest atoms and distances in Å follow each position.
Element x y z (fractional)
1 Nb 0.0000 0.0000 0.0000  12 Pd 2.76-2.88
2 Bi 0.0000 0.0000 0.2483  12 Pd 2.89-3.05
3 Bi 0.0000 0.0000 0.5000  12 Pd 2.88-2.94
4 Bi 0.0000 0.0000 0.7517  12 Pd 2.89-3.05
5 Pd 0.0000 0.5000 0.1121  2 Nb 2.76, 8 Pd 2.76-2.96, 2 Bi 3.05
6 Pd 0.0000 0.5000 0.3725  8 Pd 2.88-2.99, 4 Bi 2.90-2.94
7 Pd 0.0000 0.5000 0.6275  8 Pd 2.88-2.99, 4 Bi 2.90-2.94
8 Pd 0.0000 0.5000 0.8879  2 Nb 2.76, 8 Pd 2.76-2.96, 2 Bi 3.05
9 Pd 0.5000 0.0000 0.1121  2 Nb 2.76, 8 Pd 2.76-2.96, 2 Bi 3.05
10 Pd 0.5000 0.0000 0.3725  8 Pd 2.88-2.99, 4 Bi 2.90-2.94
11 Pd 0.5000 0.0000 0.6275  8 Pd 2.88-2.99, 4 Bi 2.90-2.94
12 Pd 0.5000 0.0000 0.8879  2 Nb 2.76, 8 Pd 2.76-2.96, 2 Bi 3.05
13 Pd 0.5000 0.5000 0.0000  8 Pd 2.76, 4 Nb 2.88
14 Pd 0.5000 0.5000 0.2409  4 Bi 2.89, 8 Pd 2.96-2.99
15 Pd 0.5000 0.5000 0.5000  4 Bi 2.88, 8 Pd 2.94
16 Pd 0.5000 0.5000 0.7591  4 Bi 2.89, 8 Pd 2.96-2.99

Record 5
A plane-wave DFT calculation with PBE was carried out for a relaxed NbBi2Pd9 crystal.

Summary:
* crystal system: tetragonal

abc: 4.0546 4.0546 12.5154
angles: 90.00 90.00 90.00
Closest atoms and distances in Å follow each position.
Element x y z (fractional)
1 Nb 0.0000 0.0000 0.0000  12 Pd 2.77-2.87
2 Bi 0.0000 0.0000 0.3344  12 Pd 2.87-3.07
3 Bi 0.0000 0.0000 0.6656  12 Pd 2.87-3.07
4 Pd 0.0000 0.5000 0.1503  8 Pd 2.77-2.93, 2 Nb 2.77, 2 Bi 3.07
5 Pd 0.0000 0.5000 0.5000  8 Pd 2.87-3.04, 4 Bi 2.90
6 Pd 0.0000 0.5000 0.8497  8 Pd 2.77-2.93, 2 Nb 2.77, 2 Bi 3.07
7 Pd 0.5000 0.0000 0.1503  8 Pd 2.77-2.93, 2 Nb 2.77, 2 Bi 3.07
8 Pd 0.5000 0.0000 0.5000  8 Pd 2.87-3.04, 4 Bi 2.90
9 Pd 0.5000 0.0000 0.8497  8 Pd 2.77-2.93, 2 Nb 2.77, 2 Bi 3.07
10 Pd 0.5000 0.5000 0.0000  8 Pd 2.77, 4 Nb 2.87
11 Pd 0.5000 0.5000 0.3193  4 Bi 2.87, 8 Pd 2.93-3.04
12 Pd 0.5000 0.5000 0.6807  4 Bi 2.87, 8 Pd 2.93-3.04

Record 6
A plane-wave DFT calculation with PBE was carried out for a relaxed NbSn2BiPd crystal.

Summary:
* crystal system: tetragonal

abc: 5.0849 5.0849 5.2509
angles: 90.00 90.00 90.00
Closest atoms and distances in Å follow each position.
Element x y z (fractional)
1 Nb 0.0000 0.0000 0.0000  2 Pd 2.63
2 Sn 0.0000 0.5000 0.5000  2 Pd 2.54
3 Sn 0.5000 0.0000 0.5000  2 Pd 2.54
4 Bi 0.5000 0.5000 0.0000  4 Nb 3.60, 8 Sn 3.65
5 Pd 0.0000 0.0000 0.5000  4 Sn 2.54, 2 Nb 2.63

Record 7
A plane-wave DFT calculation with PBE was carried out for a relaxed YNbBiPd2 crystal.

Summary:
* crystal system: tetragonal

abc: 5.0336 5.0336 5.6421
angles: 90.00 90.00 90.00
Closest atoms and distances in Å follow each position.
Element x y z (fractional)
1 Y 0.0000 0.0000 0.0000  2 Bi 2.82
2 Nb 0.5000 0.5000 0.0000  4 Y 3.56, 8 Pd 3.78
3 Bi 0.0000 0.0000 0.5000  4 Pd 2.52
4 Pd 0.0000 0.5000 0.5000  2 Bi 2.52
5 Pd 0.5000 0.0000 0.5000  2 Bi 2.52

Record 8
A plane-wave DFT calculation with PBE was carried out for a relaxed Pm2NbBi crystal.

Summary:
* crystal system: tetragonal

abc: 5.0048 5.0048 4.3441
angles: 90.00 90.00 90.00
Closest atoms and distances in Å follow each position.
Element x y z (fractional)
1 Pm 0.0000 0.5000 0.0000  4 Nb 3.31, 4 Bi 3.31, 4 Pm 3.54
2 Pm 0.5000 0.0000 0.0000  4 Nb 3.31, 4 Bi 3.31, 4 Pm 3.54
3 Nb 0.0000 0.0000 0.5000  8 Pm 3.31, 4 Bi 3.54
4 Bi 0.5000 0.5000 0.5000  8 Pm 3.31, 4 Nb 3.54

Record 9
A plane-wave DFT calculation with PBE was carried out for a relaxed Nb2BiPt2 crystal.

Summary:
* distance to the lowest polymorph of the same formula: 0 meV/atom
* crystal system: tetragonal

abc: 8.1302 8.1302 2.9389
angles: 90.00 90.00 90.00
Closest atoms and distances in Å follow each position.
Element x y z (fractional)
1 Nb 0.1632 0.3368 0.0000  6 Pt 2.79-2.83, 2 Nb 2.94
2 Nb 0.3368 0.8368 0.0000  6 Pt 2.79-2.83, 2 Nb 2.94
3 Nb 0.6632 0.1632 0.0000  6 Pt 2.79-2.83, 2 Nb 2.94
4 Nb 0.8368 0.6632 0.0000  6 Pt 2.79-2.83, 2 Nb 2.94
5 Bi 0.0000 0.0000 0.5000  2 Bi 2.94, 4 Pt 3.21
6 Bi 0.5000 0.5000 0.5000  2 Bi 2.94, 4 Pt 3.21
7 Pt 0.1266 0.6266 0.5000  6 Nb 2.79-2.83, 3 Pt 2.91-2.94
8 Pt 0.3734 0.1266 0.5000  6 Nb 2.79-2.83, 3 Pt 2.91-2.94
9 Pt 0.6266 0.8734 0.5000  6 Nb 2.79-2.83, 3 Pt 2.91-2.94
10 Pt 0.8734 0.3734 0.5000  6 Nb 2.79-2.83, 3 Pt 2.91-2.94

Record 10
A plane-wave DFT calculation with PBE was carried out for a relaxed NbBi3Pt crystal.

Summary:
* distance to the lowest polymorph of the same formula: 0 meV/atom
* crystal system: cubic

abc: 5.3985 5.3985 5.3985
angles: 90.00 90.00 90.00
Closest atoms and distances in Å follow each position.
Element x y z (fractional)
1 Nb 0.0000 0.0000 0.0000  6 Bi 2.70
2 Bi 0.0000 0.0000 0.5000  2 Nb 2.70
3 Bi 0.0000 0.5000 0.0000  2 Nb 2.70
4 Bi 0.5000 0.0000 0.0000  2 Nb 2.70
5 Pt 0.5000 0.5000 0.5000  12 Bi 3.82

Record 11
A plane-wave DFT calculation with PBE was carried out for a relaxed Nb2Bi2Pt crystal.

Summary:
* distance to the lowest polymorph of the same formula: 439 meV/atom
* crystal system: tetragonal

abc: 4.1724 4.1724 13.7506
angles: 90.00 90.00 90.00
Closest atoms and distances in Å follow each position.
Element x y z (fractional)
1 Nb 0.0000 0.0000 0.0864  1 Nb 2.38
2 Nb 0.0000 0.0000 0.9136  1 Nb 2.38
3 Nb 0.5000 0.5000 0.4136  1 Nb 2.38
4 Nb 0.5000 0.5000 0.5864  1 Nb 2.38
5 Bi 0.0000 0.5000 0.2500  4 Bi 2.95, 4 Nb 3.07
6 Bi 0.0000 0.5000 0.7500  4 Bi 2.95, 4 Nb 3.07
7 Bi 0.5000 0.0000 0.2500  4 Bi 2.95, 4 Nb 3.07
8 Bi 0.5000 0.0000 0.7500  4 Bi 2.95, 4 Nb 3.07
9 Pt 0.0000 0.0000 0.5000  8 Nb 3.18
10 Pt 0.5000 0.5000 0.0000  8 Nb 3.18

Record 12
A plane-wave DFT calculation with PBE was carried out for a relaxed Nb2Bi2Pt crystal.

Summary:
* distance to the lowest polymorph of the same formula: 0 meV/atom
* crystal system: tetragonal

abc: 7.2981 7.2981 4.1156
angles: 90.00 90.00 90.00
Closest atoms and distances in Å follow each position.
Element x y z (fractional)
1 Nb 0.1409 0.3591 0.0000  2 Pt 2.82, 6 Bi 2.90-3.02, 1 Nb 2.91
2 Nb 0.3591 0.8591 0.0000  2 Pt 2.82, 6 Bi 2.90-3.02, 1 Nb 2.91
3 Nb 0.6409 0.1409 0.0000  2 Pt 2.82, 6 Bi 2.90-3.02, 1 Nb 2.91
4 Nb 0.8591 0.6409 0.0000  2 Pt 2.82, 6 Bi 2.90-3.02, 1 Nb 2.91
5 Bi 0.1618 0.6618 0.5000  6 Nb 2.90-3.02
6 Bi 0.3382 0.1618 0.5000  6 Nb 2.90-3.02
7 Bi 0.6618 0.8382 0.5000  6 Nb 2.90-3.02
8 Bi 0.8382 0.3382 0.5000  6 Nb 2.90-3.02
9 Pt 0.0000 0.0000 0.0000  4 Nb 2.82
10 Pt 0.5000 0.5000 0.0000  4 Nb 2.82

Calculated formation energy in kJ/mol of atoms, matching the order above: 34.4; -30.1; 14.6; -25.7; -27.3; 48.3; 94.0; -3.9; -19.8; 77.9; 61.9; 19.5
N(E_F) in states/eV/f.u., matching the order above: 3.69; 5.05; 2.95; 12.02; 7.08; 4.13; 6.35; 3.70; 3.93; 4.03; 2.13; 4.44